This record from the Alexandria database describes crystalline Ce2BeWN5 at its relaxed geometry. The functional is PBE.

The value obtained for the formation energy (no corrections) is -1024 meV/atom. The value obtained for the density is 8.55 g cm⁻³. As for the crystal system: orthorhombic.

a = 3.188 Å, b = 13.500 Å, c = 9.806 Å
α = 90.00°, β = 90.00°, γ = 90.00°
Space group Cmc2_1 (No. 36)
Asymmetric unit:
Ce: 0.000 0.118 0.000 x4
Ce: 0.000 0.127 0.625 x4
Be: 0.000 0.458 0.750 x4
W: 0.000 0.194 0.319 x4
N: 0.000 0.045 0.319 x4
N: 0.000 0.300 0.961 x4
N: 0.000 0.309 0.675 x4
N: 0.000 0.343 0.317 x4
N: 0.000 0.498 0.087 x4

This record from the Alexandria database describes crystalline Na2CeBeS4 at its relaxed geometry. The functional is PBE.

The value obtained for the formation energy (no corrections) is -1203 meV/atom. The value obtained for the density is 3.02 g cm⁻³. As for the crystal system: monoclinic.

a = 10.660 Å, b = 11.316 Å, c = 7.797 Å
α = 90.00°, β = 130.89°, γ = 90.00°
Space group C2/c (No. 15)
Asymmetric unit:
Na: 0.000 0.000 0.000 x4
Na: 0.250 0.250 0.000 x4
Ce: 0.250 0.250 0.500 x4
Be: 0.000 0.500 0.000 x4
S: 0.014 0.240 0.033 x8
S: 0.200 0.493 0.527 x8

This record from the Alexandria database describes crystalline Na3Ce2BeS6 at its relaxed geometry. The functional is PBE.

The value obtained for the formation energy (no corrections) is -1377 meV/atom. The value obtained for the density is 3.38 g cm⁻³. As for the crystal system: monoclinic.

a = 6.711 Å, b = 12.112 Å, c = 7.004 Å
α = 90.00°, β = 108.32°, γ = 90.00°
Space group C2/m (No. 12)
Asymmetric unit:
Na: 0.000 0.000 0.000 x2
Na: 0.000 0.336 0.000 x4
Ce: 0.000 0.168 0.500 x4
Be: 0.000 0.500 0.500 x2
S: 0.205 0.500 0.316 x4
S: 0.246 0.333 0.736 x8

This record from the Alexandria database describes crystalline CeBe17Nb at its relaxed geometry. The functional is PBE.

The value obtained for the density is 3.50 g cm⁻³. The value obtained for the final energy is -4.295 eV/atom. As for the crystal system: trigonal.

a = 7.5685 Å, b = 7.5685 Å, c = 11.0858 Å
α = 90.00°, β = 90.00°, γ = 120.00°
Space group R3m (No. 160, hexagonal axes)
Asymmetric unit:
Ce: 0.0000 0.0000 0.0000 x3
Be: 0.0000 0.0000 0.2471 x3
Be: 0.0000 0.0000 0.4378 x3
Be: 0.0034 0.2857 0.3386 x18
Be: 0.0039 0.5020 0.1788 x9
Be: 0.0036 0.5018 0.4954 x9
Be: 0.1685 0.3371 0.1741 x9
Nb: 0.0000 0.0000 0.6739 x3

This record from the Alexandria database describes crystalline Ce2BeNi at its relaxed geometry. The functional is PBE.

The value obtained for the density is 7.59 g cm⁻³. The value obtained for the final energy is -4.765 eV/atom. As for the crystal system: trigonal.

a = 2.8799 Å, b = 2.8799 Å, c = 31.8048 Å
α = 90.00°, β = 90.00°, γ = 120.00°
Space group R-3m (No. 166, hexagonal axes)
Asymmetric unit:
Ce: 0.0000 0.0000 0.0920 x6
Be: 0.0000 0.0000 0.0000 x3
Ni: 0.0000 0.0000 0.5000 x3

This record from the Alexandria database describes crystalline CeBeNi at its relaxed geometry. The functional is PBE.

The value obtained for the density is 6.82 g cm⁻³. As for the crystal system: hexagonal. For the polymorph energy (0 for the lowest one), the calculation gives 0.0 meV/atom.

a = 4.0536 Å, b = 4.0536 Å, c = 3.5557 Å
α = 90.00°, β = 90.00°, γ = 120.00°
Space group P-6m2 (No. 187)
Asymmetric unit:
Ce: 0.0000 0.0000 0.0000 x1
Be: 0.6667 0.3333 0.5000 x1
Ni: 0.3333 0.6667 0.5000 x1

This record from the Alexandria database describes crystalline CeBeNi6 at its relaxed geometry. The functional is PBE.

The value obtained for the density is 7.90 g cm⁻³. The value obtained for the final energy is -5.648 eV/atom. As for the crystal system: tetragonal.

a = 3.648 Å, b = 3.648 Å, c = 7.919 Å
α = 90.00°, β = 90.00°, γ = 90.00°
Space group P4/mmm (No. 123)
Asymmetric unit:
Ce: 0.000 0.000 0.000 x1
Be: 0.000 0.000 0.500 x1
Ni: 0.000 0.500 0.344 x4
Ni: 0.500 0.500 0.149 x2

This record from the Alexandria database describes crystalline CeBeNi at its relaxed geometry. The functional is PBE.

The value obtained for the density is 6.37 g cm⁻³. As for the crystal system: tetragonal. For the polymorph energy (0 for the lowest one), the calculation gives 244.3 meV/atom.

a = 6.071 Å, b = 6.071 Å, c = 5.875 Å
α = 90.00°, β = 90.00°, γ = 90.00°
Space group P4_12_12 (No. 92)
Asymmetric unit:
Ce: 0.226 0.226 0.000 x4
Be: 0.125 0.125 0.500 x4
Ni: 0.130 0.870 0.750 x4

This record from the Alexandria database describes crystalline Ce2BeNi12P3 at its relaxed geometry. The functional is PBE.

The value obtained for the density is 7.31 g cm⁻³. The value obtained for the final energy is -5.812 eV/atom. As for the crystal system: trigonal.

a = 6.3343 Å, b = 6.3343 Å, c = 21.2946 Å
α = 90.00°, β = 90.00°, γ = 120.00°
Space group R-3m (No. 166, hexagonal axes)
Asymmetric unit:
Ce: 0.0000 0.0000 0.1591 x6
Be: 0.0000 0.0000 0.5000 x3
Ni: 0.0599 0.5299 0.1028 x18
Ni: 0.0641 0.5321 0.6207 x18
P: 0.0000 0.5000 0.0000 x9

This record from the Alexandria database describes crystalline Ce2BeNiPt6 at its relaxed geometry. The functional is PBE.

The value obtained for the density is 13.52 g cm⁻³. The value obtained for the final energy is -6.461 eV/atom. As for the crystal system: trigonal.

a = 5.5713 Å, b = 5.5713 Å, c = 20.8081 Å
α = 90.00°, β = 90.00°, γ = 120.00°
Space group R-3m (No. 166, hexagonal axes)
Asymmetric unit:
Ce: 0.0000 0.0000 0.2078 x6
Be: 0.0000 0.0000 0.0000 x3
Ni: 0.0000 0.0000 0.5000 x3
Pt: 0.0058 0.5029 0.2616 x18

This record from the Alexandria database describes crystalline CeBeSi2Ni4 at its relaxed geometry. The functional is PBE.

The value obtained for the formation energy (no corrections) is -588 meV/atom. The value obtained for the density is 6.91 g cm⁻³. As for the crystal system: trigonal.

a = 3.8918 Å, b = 3.8918 Å, c = 24.1794 Å
α = 90.00°, β = 90.00°, γ = 120.00°
Space group R-3m (No. 166, hexagonal axes)
Asymmetric unit:
Ce: 0.0000 0.0000 0.0000 x3
Be: 0.0000 0.0000 0.5000 x3
Si: 0.0000 0.0000 0.2366 x6
Ni: 0.0000 0.0000 0.1370 x6
Ni: 0.0000 0.0000 0.4101 x6

This record from the Alexandria database describes crystalline Ce3BeSi6Ni2 at its relaxed geometry. The functional is PBE.

The value obtained for the formation energy (no corrections) is -256 meV/atom. The value obtained for the density is 5.43 g cm⁻³. As for the crystal system: trigonal.

a = 5.7329 Å, b = 5.7329 Å, c = 7.6860 Å
α = 90.00°, β = 90.00°, γ = 120.00°
Space group P-3m1 (No. 164)
Asymmetric unit:
Ce: 0.0000 0.0000 0.0000 x1
Ce: 0.3333 0.6667 0.6440 x2
Be: 0.0000 0.0000 0.5000 x1
Si: 0.1892 0.3784 0.2991 x6
Ni: 0.3333 0.6667 0.0597 x2

This record from the Alexandria database describes crystalline Ce2BeSi3Ni12 at its relaxed geometry. The functional is PBE.

The value obtained for the formation energy (no corrections) is -163 meV/atom. The value obtained for the density is 7.21 g cm⁻³. As for the crystal system: trigonal.

a = 6.2586 Å, b = 6.2586 Å, c = 21.9643 Å
α = 90.00°, β = 90.00°, γ = 120.00°
Space group R-3m (No. 166, hexagonal axes)
Asymmetric unit:
Ce: 0.0000 0.0000 0.1590 x6
Be: 0.0000 0.0000 0.5000 x3
Si: 0.0000 0.5000 0.0000 x9
Ni: 0.0543 0.5271 0.1043 x18
Ni: 0.0682 0.5341 0.6193 x18

This record from the Alexandria database describes crystalline Ce2BeZnNi6 at its relaxed geometry. The functional is PBE.

The value obtained for the density is 7.55 g cm⁻³. The value obtained for the final energy is -5.209 eV/atom. As for the crystal system: cubic.

a = 8.535 Å, b = 8.535 Å, c = 8.535 Å
α = 90.00°, β = 90.00°, γ = 90.00°
Space group Fm-3m (No. 225)
Asymmetric unit:
Ce: 0.250 0.250 0.250 x8
Be: 0.000 0.000 0.000 x4
Zn: 0.000 0.000 0.500 x4
Ni: 0.000 0.000 0.232 x24

This record from the Alexandria database describes crystalline CeBeO3 at its relaxed geometry. The functional is PBE.

The value obtained for the formation energy (no corrections) is -2945 meV/atom. The value obtained for the density is 5.35 g cm⁻³. As for the crystal system: monoclinic.

a = 3.784 Å, b = 5.392 Å, c = 6.252 Å
α = 90.00°, β = 106.49°, γ = 90.00°
Space group P2_1/m (No. 11)
Asymmetric unit:
Ce: 0.171 0.250 0.302 x2
Be: 0.295 0.250 0.797 x2
O: 0.047 0.250 0.953 x2
O: 0.327 0.006 0.671 x4

This record from the Alexandria database describes crystalline Ce2BeO at its relaxed geometry. The functional is PBE.

The value obtained for the formation energy (no corrections) is -619 meV/atom. The value obtained for the density is 6.27 g cm⁻³. As for the crystal system: trigonal.

a = 3.1696 Å, b = 3.1696 Å, c = 27.8622 Å
α = 90.00°, β = 90.00°, γ = 120.00°
Space group R-3m (No. 166, hexagonal axes)
Asymmetric unit:
Ce: 0.0000 0.0000 0.1090 x6
Be: 0.0000 0.0000 0.0000 x3
O: 0.0000 0.0000 0.5000 x3

This record from the Alexandria database describes crystalline CeBeO3 at its relaxed geometry. The functional is PBE.

The value obtained for the formation energy (no corrections) is -2762 meV/atom. The value obtained for the density is 7.02 g cm⁻³. As for the crystal system: cubic.

a = 3.599 Å, b = 3.599 Å, c = 3.599 Å
α = 90.00°, β = 90.00°, γ = 90.00°
Space group Pm-3m (No. 221)
Asymmetric unit:
Ce: 0.000 0.000 0.000 x1
Be: 0.500 0.500 0.500 x1
O: 0.000 0.500 0.500 x3

This record from the Alexandria database describes crystalline CeBePO at its relaxed geometry. The functional is PBE.

The value obtained for the formation energy (no corrections) is -1838 meV/atom. The value obtained for the density is 5.38 g cm⁻³. As for the crystal system: tetragonal.

a = 3.825 Å, b = 3.825 Å, c = 8.274 Å
α = 90.00°, β = 90.00°, γ = 90.00°
Space group P4/nmm (No. 129, origin choice 2)
Asymmetric unit:
Ce: 0.250 0.250 0.158 x2
Be: 0.250 0.750 0.500 x2
P: 0.250 0.250 0.645 x2
O: 0.250 0.750 0.000 x2

This record from the Alexandria database describes crystalline CePaBeO6 at its relaxed geometry. The functional is PBE.

The value obtained for the formation energy (no corrections) is -2744 meV/atom. The value obtained for the density is 6.87 g cm⁻³. As for the crystal system: trigonal.

a = 5.2328 Å, b = 5.2328 Å, c = 4.8524 Å
α = 90.00°, β = 90.00°, γ = 120.00°
Space group P312 (No. 149)
Asymmetric unit:
Ce: 0.0000 0.0000 0.0000 x1
Pa: 0.6667 0.3333 0.5000 x1
Be: 0.3333 0.6667 0.0000 x1
O: 0.0238 0.3784 0.2319 x6

This record from the Alexandria database describes crystalline CeBe2Pb2O6 at its relaxed geometry. The functional is PBE.

The value obtained for the formation energy (no corrections) is -2231 meV/atom. The value obtained for the density is 5.68 g cm⁻³. As for the crystal system: trigonal.

a = 5.2532 Å, b = 5.2532 Å, c = 8.1716 Å
α = 90.00°, β = 90.00°, γ = 120.00°
Space group P-3 (No. 147)
Asymmetric unit:
Ce: 0.0000 0.0000 0.0000 x1
Be: 0.3333 0.6667 0.8342 x2
Pb: 0.3333 0.6667 0.3153 x2
O: 0.0432 0.6776 0.8319 x6

This record from the Alexandria database describes crystalline Ce2PmBe2O6 at its relaxed geometry. The functional is PBE.

The value obtained for the formation energy (no corrections) is -2733 meV/atom. The value obtained for the density is 5.58 g cm⁻³. As for the crystal system: trigonal.

a = 5.5551 Å, b = 5.5551 Å, c = 6.0085 Å
α = 90.00°, β = 90.00°, γ = 120.00°
Space group P-3 (No. 147)
Asymmetric unit:
Ce: 0.3333 0.6667 0.3686 x2
Pm: 0.0000 0.0000 0.0000 x1
Be: 0.3333 0.6667 0.8172 x2
O: 0.0762 0.7010 0.7567 x6